SCAN NaTiBe2, single point on PBEsol structure; SG = Fm-3m; energy of formation = 0.65 eV per atom
1.0
0.000 3.041 3.041
3.041 0.000 3.041
3.041 3.041 0.000
Na Ti Be
1 1 2
Direct
0.000 0.000 0.000
0.500 0.500 0.500
0.250 0.250 0.250
0.750 0.750 0.750